Version P
NbRuS3: relaxed, GGA-PBE.

```
data_NbRuS3
_space_group_name_H-M_alt 'P m -3 m'
_space_group_IT_number 221
_space_group_name_Hall '-P 4 2 3'
_cell_length_a 4.520
_cell_length_b 4.520
_cell_length_c 4.520
_cell_angle_alpha 90.00
_cell_angle_beta 90.00
_cell_angle_gamma 90.00
loop_
_atom_site_label
_atom_site_fract_x
_atom_site_fract_y
_atom_site_fract_z
Nb1 0.000 0.000 0.000
Ru1 0.500 0.500 0.500
S1 0.000 0.500 0.500
```

Values from the calculation:
Crystal system: cubic
Spin magnetization: 0.0 μB per formula unit

Version Q
NbRuS3: relaxed, GGA-PBE.

```
data_NbRuS3
_space_group_name_H-M_alt 'P m -3 m'
_space_group_IT_number 221
_space_group_name_Hall '-P 4 2 3'
_cell_length_a 4.774
_cell_length_b 4.774
_cell_length_c 4.774
_cell_angle_alpha 90.00
_cell_angle_beta 90.00
_cell_angle_gamma 90.00
loop_
_atom_site_label
_atom_site_fract_x
_atom_site_fract_y
_atom_site_fract_z
Nb1 0.000 0.000 0.000
Ru1 0.500 0.500 0.500
S1 0.000 0.000 0.500
```

Values from the calculation:
Crystal system: cubic
Spin magnetization: 3.3 μB per formula unit

Sorted by energy, starting with the most stable: version Q, version P.

Version P
Nb2RuS: relaxed, GGA-PBE.

```
data_Nb2RuS
_space_group_name_H-M_alt 'F m -3 m'
_space_group_IT_number 225
_space_group_name_Hall '-F 4 2 3'
_cell_length_a 6.319
_cell_length_b 6.319
_cell_length_c 6.319
_cell_angle_alpha 90.00
_cell_angle_beta 90.00
_cell_angle_gamma 90.00
loop_
_atom_site_label
_atom_site_fract_x
_atom_site_fract_y
_atom_site_fract_z
Nb1 0.250 0.250 0.250
Ru1 0.000 0.000 0.000
S1 0.000 0.000 0.500
```

Values from the calculation:
Crystal system: cubic
Spin magnetization: 0.0 μB per formula unit

Version Q
Nb2RuS: relaxed, GGA-PBE.

```
data_Nb2RuS
_space_group_name_H-M_alt 'I -4 2 d'
_space_group_IT_number 122
_space_group_name_Hall 'I -4 2bw'
_cell_length_a 5.197
_cell_length_b 5.197
_cell_length_c 12.885
_cell_angle_alpha 90.00
_cell_angle_beta 90.00
_cell_angle_gamma 90.00
loop_
_atom_site_label
_atom_site_fract_x
_atom_site_fract_y
_atom_site_fract_z
Nb1 0.234 0.250 0.125
Ru1 0.000 0.000 0.500
S1 0.000 0.000 0.000
```

Values from the calculation:
Crystal system: tetragonal
Spin magnetization: 0.0 μB per formula unit

Sorted by energy, starting with the most stable: version P, version Q.

Version P
Nb3RuS: relaxed, GGA-PBE.

```
data_Nb3RuS
_space_group_name_H-M_alt 'P m -3 m'
_space_group_IT_number 221
_space_group_name_Hall '-P 4 2 3'
_cell_length_a 4.821
_cell_length_b 4.821
_cell_length_c 4.821
_cell_angle_alpha 90.00
_cell_angle_beta 90.00
_cell_angle_gamma 90.00
loop_
_atom_site_label
_atom_site_fract_x
_atom_site_fract_y
_atom_site_fract_z
Nb1 0.000 0.000 0.500
Ru1 0.000 0.000 0.000
S1 0.500 0.500 0.500
```

Values from the calculation:
Crystal system: cubic
Spin magnetization: 0.0 μB per formula unit

Version Q
Nb3RuS: relaxed, GGA-PBE.

```
data_Nb3RuS
_space_group_name_H-M_alt 'P m -3 m'
_space_group_IT_number 221
_space_group_name_Hall '-P 4 2 3'
_cell_length_a 4.520
_cell_length_b 4.520
_cell_length_c 4.520
_cell_angle_alpha 90.00
_cell_angle_beta 90.00
_cell_angle_gamma 90.00
loop_
_atom_site_label
_atom_site_fract_x
_atom_site_fract_y
_atom_site_fract_z
Nb1 0.000 0.000 0.500
Ru1 0.500 0.500 0.500
S1 0.000 0.000 0.000
```

Values from the calculation:
Crystal system: cubic
Spin magnetization: 0.0 μB per formula unit

Sorted by energy, starting with the most stable: version Q, version P.

Version P
NbRu2S: relaxed, GGA-PBE.

```
data_NbRu2S
_space_group_name_H-M_alt 'I -4 2 d'
_space_group_IT_number 122
_space_group_name_Hall 'I -4 2bw'
_cell_length_a 5.371
_cell_length_b 5.371
_cell_length_c 11.188
_cell_angle_alpha 90.00
_cell_angle_beta 90.00
_cell_angle_gamma 90.00
loop_
_atom_site_label
_atom_site_fract_x
_atom_site_fract_y
_atom_site_fract_z
Nb1 0.000 0.000 0.000
Ru1 0.207 0.250 0.625
S1 0.000 0.000 0.500
```

Values from the calculation:
Crystal system: tetragonal
Spin magnetization: 0.0 μB per formula unit

Version Q
NbRu2S: relaxed, GGA-PBE.

```
data_NbRu2S
_space_group_name_H-M_alt 'F m -3 m'
_space_group_IT_number 225
_space_group_name_Hall '-F 4 2 3'
_cell_length_a 6.227
_cell_length_b 6.227
_cell_length_c 6.227
_cell_angle_alpha 90.00
_cell_angle_beta 90.00
_cell_angle_gamma 90.00
loop_
_atom_site_label
_atom_site_fract_x
_atom_site_fract_y
_atom_site_fract_z
Nb1 0.000 0.000 0.000
Ru1 0.250 0.250 0.250
S1 0.000 0.000 0.500
```

Values from the calculation:
Crystal system: cubic
Spin magnetization: 1.0 μB per formula unit

Sorted by energy, starting with the most stable: version P, version Q.

Version P
Nb3SbRu: relaxed, GGA-PBE.

```
data_Nb3SbRu
_space_group_name_H-M_alt 'P m -3 m'
_space_group_IT_number 221
_space_group_name_Hall '-P 4 2 3'
_cell_length_a 4.941
_cell_length_b 4.941
_cell_length_c 4.941
_cell_angle_alpha 90.00
_cell_angle_beta 90.00
_cell_angle_gamma 90.00
loop_
_atom_site_label
_atom_site_fract_x
_atom_site_fract_y
_atom_site_fract_z
Nb1 0.000 0.000 0.500
Sb1 0.000 0.000 0.000
Ru1 0.500 0.500 0.500
```

Values from the calculation:
Crystal system: cubic
Spin magnetization: 0.0 μB per formula unit

Version Q
Nb3SbRu: relaxed, GGA-PBE.

```
data_Nb3SbRu
_space_group_name_H-M_alt 'P m -3 m'
_space_group_IT_number 221
_space_group_name_Hall '-P 4 2 3'
_cell_length_a 4.828
_cell_length_b 4.828
_cell_length_c 4.828
_cell_angle_alpha 90.00
_cell_angle_beta 90.00
_cell_angle_gamma 90.00
loop_
_atom_site_label
_atom_site_fract_x
_atom_site_fract_y
_atom_site_fract_z
Nb1 0.000 0.000 0.500
Sb1 0.500 0.500 0.500
Ru1 0.000 0.000 0.000
```

Values from the calculation:
Crystal system: cubic
Spin magnetization: 0.0 μB per formula unit

Sorted by energy, starting with the most stable: version Q, version P.

Version P
Sc3NbRu: relaxed, GGA-PBE.

```
data_Sc3NbRu
_space_group_name_H-M_alt 'P m -3 m'
_space_group_IT_number 221
_space_group_name_Hall '-P 4 2 3'
_cell_length_a 4.918
_cell_length_b 4.918
_cell_length_c 4.918
_cell_angle_alpha 90.00
_cell_angle_beta 90.00
_cell_angle_gamma 90.00
loop_
_atom_site_label
_atom_site_fract_x
_atom_site_fract_y
_atom_site_fract_z
Sc1 0.000 0.000 0.500
Nb1 0.500 0.500 0.500
Ru1 0.000 0.000 0.000
```

Values from the calculation:
Crystal system: cubic
Spin magnetization: 2.2 μB per formula unit

Version Q
Sc3NbRu: relaxed, GGA-PBE.

```
data_Sc3NbRu
_space_group_name_H-M_alt 'P m -3 m'
_space_group_IT_number 221
_space_group_name_Hall '-P 4 2 3'
_cell_length_a 4.870
_cell_length_b 4.870
_cell_length_c 4.870
_cell_angle_alpha 90.00
_cell_angle_beta 90.00
_cell_angle_gamma 90.00
loop_
_atom_site_label
_atom_site_fract_x
_atom_site_fract_y
_atom_site_fract_z
Sc1 0.000 0.000 0.500
Nb1 0.000 0.000 0.000
Ru1 0.500 0.500 0.500
```

Values from the calculation:
Crystal system: cubic
Spin magnetization: 0.7 μB per formula unit

Sorted by energy, starting with the most stable: version P, version Q.

Version P
ScNbRu2: relaxed, GGA-PBE.

```
data_ScNbRu2
_space_group_name_H-M_alt 'I -4 2 d'
_space_group_IT_number 122
_space_group_name_Hall 'I -4 2bw'
_cell_length_a 6.991
_cell_length_b 6.991
_cell_length_c 5.814
_cell_angle_alpha 90.00
_cell_angle_beta 90.00
_cell_angle_gamma 90.00
loop_
_atom_site_label
_atom_site_fract_x
_atom_site_fract_y
_atom_site_fract_z
Sc1 0.000 0.000 0.000
Nb1 0.000 0.000 0.500
Ru1 0.231 0.250 0.625
```

Values from the calculation:
Crystal system: tetragonal
Spin magnetization: 0.0 μB per formula unit

Version Q
ScNbRu2: relaxed, GGA-PBE.

```
data_ScNbRu2
_space_group_name_H-M_alt 'F m -3 m'
_space_group_IT_number 225
_space_group_name_Hall '-F 4 2 3'
_cell_length_a 6.372
_cell_length_b 6.372
_cell_length_c 6.372
_cell_angle_alpha 90.00
_cell_angle_beta 90.00
_cell_angle_gamma 90.00
loop_
_atom_site_label
_atom_site_fract_x
_atom_site_fract_y
_atom_site_fract_z
Sc1 0.000 0.000 0.000
Nb1 0.000 0.000 0.500
Ru1 0.250 0.250 0.250
```

Values from the calculation:
Crystal system: cubic
Spin magnetization: 0.0 μB per formula unit

Sorted by energy, starting with the most stable: version Q, version P.

Version P
ScNbRu2: relaxed, GGA-PBE.

```
data_ScNbRu2
_space_group_name_H-M_alt 'P m m a'
_space_group_IT_number 51
_cell_length_a 4.546
_cell_length_b 3.180
_cell_length_c 9.033
_cell_angle_alpha 90.00
_cell_angle_beta 90.00
_cell_angle_gamma 90.00
loop_
_space_group_symop_operation_xyz
'x,y,z'
'-x,-y,-z'
'-x+1/2,-y,z'
'x+1/2,y,-z'
'x+1/2,-y,-z'
'-x+1/2,y,z'
'-x,y,-z'
'x,-y,z'
loop_
_atom_site_label
_atom_site_fract_x
_atom_site_fract_y
_atom_site_fract_z
Sc1 0.250 0.000 0.122
Nb1 0.250 0.000 0.629
Ru1 0.250 0.500 0.383
Ru2 0.250 0.500 0.865
```

Values from the calculation:
Crystal system: orthorhombic
Spin magnetization: 0.0 μB per formula unit

Version Q
ScNbRu2: relaxed, GGA-PBE.

```
data_ScNbRu2
_space_group_name_H-M_alt 'P 4/m m m'
_space_group_IT_number 123
_space_group_name_Hall '-P 4 2'
_cell_length_a 3.182
_cell_length_b 3.182
_cell_length_c 6.426
_cell_angle_alpha 90.00
_cell_angle_beta 90.00
_cell_angle_gamma 90.00
loop_
_atom_site_label
_atom_site_fract_x
_atom_site_fract_y
_atom_site_fract_z
Sc1 0.000 0.000 0.000
Nb1 0.000 0.000 0.500
Ru1 0.500 0.500 0.259
```

Values from the calculation:
Crystal system: tetragonal
Spin magnetization: 0.0 μB per formula unit

Sorted by energy, starting with the most stable: version Q, version P.